(1)
Ac4Tb2Sm5 GGA-PBE optimized geometry; symmetry = C2/m, No. 12; energy = -48.78 eV/cell
1.0
9.538 -2.669 0.000
9.538 2.669 0.000
-2.064 0.000 8.042
Ac Tb Sm
4 2 5
Direct
0.044 0.044 0.229
0.318 0.318 0.592
0.682 0.682 0.408
0.956 0.956 0.771
0.408 0.408 0.051
0.592 0.592 0.949
0.138 0.138 0.692
0.226 0.226 0.125
0.500 0.500 0.500
0.774 0.774 0.875
0.862 0.862 0.308

(2)
Ac6Tb5Sm GGA-PBE optimized geometry; symmetry = C2/m, No. 12; energy = -52.00 eV/cell
1.0
8.625 -5.102 0.000
8.625 5.102 0.000
-1.731 0.000 5.192
Ac Tb Sm
6 5 1
Direct
0.082 0.584 0.333
0.248 0.752 0.000
0.416 0.918 0.667
0.584 0.082 0.333
0.752 0.248 0.000
0.918 0.416 0.667
0.000 0.000 0.500
0.167 0.167 0.167
0.333 0.333 0.833
0.667 0.667 0.167
0.833 0.833 0.833
0.500 0.500 0.500

(3)
Ac3TbSm2 GGA-PBE optimized geometry; symmetry = C2/c, No. 15; energy = -52.05 eV/cell
1.0
5.419 -3.789 0.000
5.419 3.789 0.000
-5.413 0.000 11.387
Ac Tb Sm
6 2 4
Direct
0.126 0.874 0.750
0.209 0.457 0.917
0.457 0.209 0.417
0.543 0.791 0.583
0.791 0.543 0.083
0.874 0.126 0.250
0.374 0.626 0.250
0.626 0.374 0.750
0.042 0.291 0.584
0.291 0.042 0.084
0.709 0.958 0.916
0.958 0.709 0.416

(4)
Ac3TbSm6 GGA-PBE optimized geometry; symmetry = R-3, No. 148; energy = -41.53 eV/cell
1.0
5.080 2.933 4.287
-5.080 2.933 4.287
0.000 -5.866 4.287
Ac Tb Sm
3 1 6
Direct
0.000 0.000 0.000
0.258 0.258 0.258
0.742 0.742 0.742
0.500 0.500 0.500
0.096 0.423 0.750
0.250 0.904 0.577
0.423 0.750 0.096
0.577 0.250 0.904
0.750 0.096 0.423
0.904 0.577 0.250

(5)
AcTb4Sm2 GGA-PBE optimized geometry; symmetry = P1, No. 1; energy above the lowest structure with this stoichiometry = 0.0 meV/atom; energy = -63.59 eV/cell
1.0
6.897 0.000 0.000
1.985 8.456 0.000
3.008 3.354 8.294
Ac Tb Sm
2 8 4
Direct
0.000 0.000 0.000
0.252 0.949 0.315
0.296 0.145 0.574
0.390 0.515 0.599
0.440 0.711 0.859
0.531 0.097 0.875
0.579 0.290 0.146
0.673 0.658 0.172
0.719 0.851 0.441
0.811 0.237 0.457
0.104 0.384 0.027
0.150 0.563 0.290
0.861 0.432 0.716
0.958 0.803 0.742

(6)
AcTb14Sm GGA-PBE optimized geometry; symmetry = Amm2, No. 38; energy = -73.24 eV/cell
1.0
11.468 0.000 0.000
0.000 3.661 6.327
0.000 -3.661 6.327
Ac Tb Sm
1 14 1
Direct
0.000 0.000 0.000
0.000 0.003 0.500
0.000 0.500 0.003
0.251 0.668 0.668
0.254 0.169 0.169
0.255 0.169 0.666
0.255 0.666 0.169
0.500 0.000 0.501
0.500 0.001 0.001
0.500 0.501 0.000
0.500 0.501 0.501
0.745 0.169 0.666
0.745 0.666 0.169
0.746 0.169 0.169
0.749 0.668 0.668
0.000 0.499 0.499

(7)
Ac2TbSm2 GGA-PBE optimized geometry; symmetry = C2/c, No. 15; energy above the lowest structure with this stoichiometry = 0.0 meV/atom; energy = -43.70 eV/cell
1.0
8.971 -3.402 0.000
8.971 3.402 0.000
-2.102 0.000 6.227
Ac Tb Sm
4 2 4
Direct
0.049 0.333 0.192
0.333 0.049 0.692
0.667 0.951 0.308
0.951 0.667 0.808
0.073 0.927 0.750
0.927 0.073 0.250
0.296 0.528 0.343
0.472 0.704 0.157
0.528 0.296 0.843
0.704 0.472 0.657

(8)
Ac3Tb2Sm GGA-PBE optimized geometry; symmetry = P-1, No. 2; energy = -51.79 eV/cell
1.0
6.593 0.000 0.000
-2.268 6.195 0.000
-2.156 -3.078 11.353
Ac Tb Sm
6 4 2
Direct
0.040 0.291 0.083
0.292 0.043 0.584
0.377 0.626 0.750
0.623 0.374 0.250
0.708 0.957 0.416
0.960 0.709 0.917
0.207 0.458 0.417
0.459 0.210 0.917
0.541 0.790 0.083
0.793 0.542 0.583
0.124 0.874 0.250
0.876 0.126 0.750

(9)
AcTb6Sm5 GGA-PBE optimized geometry; symmetry = C2/m, No. 12; energy = -55.21 eV/cell
1.0
3.143 -5.444 0.000
3.143 5.444 0.000
-2.091 0.000 11.781
Ac Tb Sm
1 6 5
Direct
0.000 0.000 0.000
0.084 0.420 0.253
0.252 0.252 0.747
0.420 0.084 0.253
0.580 0.916 0.747
0.748 0.748 0.253
0.916 0.580 0.747
0.167 0.833 0.500
0.333 0.667 0.000
0.500 0.500 0.500
0.667 0.333 0.000
0.833 0.167 0.500

(10)
Ac2TbSm3Te6 GGA-PBE optimized geometry; energy relative to the elements, uncorrected = -1.391 eV per atom; symmetry = C2/m, No. 12; energy = -62.55 eV/cell
1.0
9.856 -2.249 0.000
9.856 2.249 0.000
-2.059 0.000 8.905
Ac Tb Sm Te
2 1 3 6
Direct
0.166 0.166 0.333
0.834 0.834 0.667
0.500 0.500 0.000
0.173 0.173 0.837
0.500 0.500 0.500
0.827 0.827 0.163
0.007 0.007 0.758
0.338 0.338 0.405
0.338 0.338 0.931
0.662 0.662 0.069
0.662 0.662 0.595
0.993 0.993 0.242

(11)
Ac2TbSmTe6 GGA-PBE optimized geometry; energy relative to the elements, uncorrected = -1.449 eV per atom; symmetry = R3, No. 146; energy = -50.91 eV/cell
1.0
4.070 2.350 7.118
-4.070 2.350 7.118
0.000 -4.700 7.118
Ac Tb Sm Te
2 1 1 6
Direct
0.000 0.000 0.000
0.499 0.499 0.499
0.700 0.700 0.700
0.200 0.200 0.200
0.070 0.429 0.825
0.328 0.924 0.574
0.429 0.825 0.070
0.574 0.328 0.924
0.825 0.070 0.429
0.924 0.574 0.328

(12)
AcTb2Sm3Te6 GGA-PBE optimized geometry; energy relative to the elements, uncorrected = -1.367 eV per atom; symmetry = C2/m, No. 12; energy = -62.78 eV/cell
1.0
3.861 -6.716 0.000
3.861 6.716 0.000
-2.589 0.000 7.305
Ac Tb Sm Te
1 2 3 6
Direct
0.000 0.000 0.000
0.332 0.668 0.000
0.668 0.332 0.000
0.153 0.847 0.500
0.500 0.500 0.500
0.847 0.153 0.500
0.085 0.436 0.257
0.270 0.270 0.757
0.436 0.085 0.257
0.564 0.915 0.743
0.730 0.730 0.243
0.915 0.564 0.743

(13)
AcTb3Sm2Te6 GGA-PBE optimized geometry; energy relative to the elements, uncorrected = -1.358 eV per atom; symmetry = C2/m, No. 12; energy = -62.58 eV/cell
1.0
3.824 -6.670 0.000
3.824 6.670 0.000
-2.580 0.000 7.363
Ac Tb Sm Te
1 3 2 6
Direct
0.000 0.000 0.000
0.157 0.843 0.500
0.500 0.500 0.500
0.843 0.157 0.500
0.332 0.668 0.000
0.668 0.332 0.000
0.089 0.434 0.266
0.261 0.261 0.745
0.434 0.089 0.266
0.566 0.911 0.734
0.739 0.739 0.255
0.911 0.566 0.734

(14)
Ac3Tb2SmTe6 GGA-PBE optimized geometry; energy relative to the elements, uncorrected = -1.409 eV per atom; symmetry = C2/m, No. 12; energy = -62.06 eV/cell
1.0
10.066 -2.237 0.000
10.066 2.237 0.000
-2.598 0.000 8.947
Ac Tb Sm Te
3 2 1 6
Direct
0.000 0.000 0.000
0.335 0.335 0.668
0.665 0.665 0.332
0.334 0.334 0.168
0.666 0.666 0.832
0.000 0.000 0.500
0.163 0.163 0.598
0.173 0.173 0.069
0.494 0.494 0.260
0.506 0.506 0.740
0.827 0.827 0.931
0.837 0.837 0.402

(15)
AcTbSmTe3 GGA-PBE optimized geometry; energy relative to the elements, uncorrected = -1.295 eV per atom; symmetry = P2_1/m, No. 11; energy = -61.31 eV/cell
1.0
8.784 0.000 0.000
0.000 4.463 0.000
-3.087 0.000 10.552
Ac Tb Sm Te
2 2 2 6
Direct
0.192 0.250 0.220
0.808 0.750 0.780
0.152 0.250 0.622
0.848 0.750 0.378
0.340 0.750 0.906
0.660 0.250 0.094
0.092 0.250 0.892
0.221 0.750 0.458
0.486 0.750 0.207
0.514 0.250 0.793
0.779 0.250 0.542
0.908 0.750 0.108

(16)
Ac3TbSm2Te6 GGA-PBE optimized geometry; energy relative to the elements, uncorrected = -1.421 eV per atom; symmetry = C2/m, No. 12; energy = -62.29 eV/cell
1.0
10.056 -2.255 0.000
10.056 2.255 0.000
-2.466 0.000 8.956
Ac Tb Sm Te
3 1 2 6
Direct
0.000 0.000 0.000
0.332 0.332 0.666
0.668 0.668 0.334
0.000 0.000 0.500
0.333 0.333 0.166
0.667 0.667 0.834
0.160 0.160 0.593
0.171 0.171 0.072
0.496 0.496 0.265
0.504 0.504 0.735
0.829 0.829 0.928
0.840 0.840 0.407

(17)
Ac3Tb3SmTe8 GGA-PBE optimized geometry; energy relative to the elements, uncorrected = -1.446 eV per atom; symmetry = R-3m, No. 166; energy = -77.76 eV/cell
1.0
4.486 2.590 7.543
-4.486 2.590 7.543
0.000 -5.181 7.543
Ac Tb Sm Te
3 3 1 8
Direct
0.000 0.500 0.500
0.500 0.000 0.500
0.500 0.500 0.000
0.000 0.000 0.500
0.000 0.500 0.000
0.500 0.000 0.000
0.500 0.500 0.500
0.233 0.751 0.751
0.242 0.242 0.242
0.249 0.249 0.767
0.249 0.767 0.249
0.751 0.233 0.751
0.751 0.751 0.233
0.758 0.758 0.758
0.767 0.249 0.249

(18)
Ac2TbSmTe5 GGA-PBE optimized geometry; energy relative to the elements, uncorrected = -1.001 eV per atom; symmetry = P4/mmm, No. 123; energy = -42.28 eV/cell
1.0
5.532 0.000 0.000
0.000 5.532 0.000
0.000 0.000 11.766
Ac Tb Sm Te
2 1 1 5
Direct
0.000 0.000 0.198
0.000 0.000 0.802
0.500 0.500 0.000
0.500 0.500 0.500
0.000 0.000 0.500
0.000 0.500 0.000
0.500 0.000 0.000
0.500 0.500 0.253
0.500 0.500 0.747

(19)
AcTbSm2Tl2 GGA-PBE optimized geometry; symmetry = Pmc2_1, No. 26; energy = -48.64 eV/cell
1.0
5.199 0.000 0.000
0.000 10.394 0.000
0.000 0.000 7.208
Ac Tb Sm Tl
2 2 4 4
Direct
0.000 0.049 0.000
0.000 0.951 0.500
0.500 0.202 0.716
0.500 0.798 0.216
0.000 0.322 0.393
0.000 0.678 0.893
0.500 0.451 0.104
0.500 0.549 0.604
0.000 0.371 0.842
0.000 0.629 0.342
0.500 0.138 0.276
0.500 0.862 0.776

(20)
AcTb2SmTl4 GGA-PBE optimized geometry; symmetry = R-3m, No. 166; energy = -30.23 eV/cell
1.0
2.764 1.596 9.067
-2.764 1.596 9.067
0.000 -3.192 9.067
Ac Tb Sm Tl
1 2 1 4
Direct
0.000 0.000 0.000
0.249 0.249 0.249
0.751 0.751 0.751
0.500 0.500 0.500
0.128 0.128 0.128
0.379 0.379 0.379
0.621 0.621 0.621
0.872 0.872 0.872

(21)
AcTb2Sm2Tm2 GGA-PBE optimized geometry; symmetry = C2/m, No. 12; energy = -31.45 eV/cell
1.0
5.710 -2.567 0.000
5.710 2.567 0.000
-1.168 0.000 8.023
Ac Tb Sm Tm
1 2 2 2
Direct
0.000 0.000 0.000
0.285 0.285 0.849
0.715 0.715 0.151
0.426 0.426 0.291
0.574 0.574 0.709
0.143 0.143 0.434
0.857 0.857 0.566